Compound: MgCoNi2B
Source: the Alexandria database
Functional: GGA-PBE
Structure: relaxed

extended XYZ file:
```
5
Lattice="4.237 0.000 0.000 0.000 4.609 0.000 0.000 0.000 4.237" Properties=species:S:1:pos:R:3 pbc="T T T"
Ni 0.000 0.000 2.118
Ni 2.118 0.000 0.000
Mg 0.000 2.305 0.000
B 2.118 2.305 2.118
Co 0.000 0.000 0.000
```

Results
E = -0.1433 Ha/atom
offset from the most stable computed form = 1719.1 meV/atom
ρ = 4.2 g/cm3
space group = P4/mmm, No. 123
ΔE_f = 1489 meV per atom